Entry 1:
Crystalline IrOsCl2 at its relaxed geometry. Source: Alexandria via LeMat-Bulk, functional GGA-PBE.

abc: 6.3430 3.6647 8.5435
angles: 90.00 101.64 90.00
With the nearest neighbours (Å) after each atom.
Space group Cm (No. 8)
Unique sites:
Ir  0.0000  0.0000  0.0000 x2  1 Cl 2.23, 3 Os 2.42
Os  0.2954  0.0000  0.8602 x2  3 Ir 2.42, 3 Cl 2.62
Cl  0.0712  0.0000  0.2667 x2  1 Ir 2.23
Cl  0.0791  0.5000  0.6763 x2  3 Os 2.62

## Properties
raw formation energy = 216 meV per atom
relative energy among the computed polymorphs = 86.9 meV/atom
density = 7.7 g/cm3
raw total energy = -5.73 eV per atom

Entry 2:
Crystalline Ce4Te3 at its relaxed geometry. Source: Alexandria via LeMat-Bulk, functional GGA-PBE.

abc: 5.3377 5.3377 26.8529
angles: 90.00 90.00 120.00
With the nearest neighbours (Å) after each atom.
Space group R-3m (No. 166, hexagonal axes)
Unique sites:
Ce  0.0000  0.0000  0.1227 x6  5 Te 3.20-3.29
Ce  0.0000  0.0000  0.3743 x6  7 Te 3.27-3.52
Te  0.0000  0.0000  0.0000 x3  8 Ce 3.27-3.29
Te  0.0000  0.0000  0.2430 x6  8 Ce 3.20-3.52

## Properties
raw formation energy = -922 meV per atom
relative energy among the computed polymorphs = 203.2 meV/atom
density = 7.1 g/cm3
raw total energy = -5.66 eV per atom

Entry 3:
Crystalline Y6TmTe8 at its relaxed geometry. Source: Alexandria via LeMat-Bulk, functional GGA-PBE.

abc: 12.2932 12.2932 12.2932
angles: 90.00 90.00 90.00
With the nearest neighbours (Å) after each atom.
Space group Fm-3m (No. 225)
Unique sites:
Y  0.0000  0.2500  0.2500 x24  6 Te 3.07
Tm  0.0000  0.0000  0.0000 x4  6 Te 3.11
Te  0.0000  0.0000  0.2527 x24  4 Y 3.07, 1 Tm 3.11
Te  0.2500  0.2500  0.2500 x8  6 Y 3.07

## Properties
raw formation energy = -1375 meV per atom
density = 6.2 g/cm3
raw total energy = -5.93 eV per atom

Entry 4:
Crystalline Zr2NbTl2 at its relaxed geometry. Source: Alexandria via LeMat-Bulk, functional GGA-PBE.

abc: 7.6282 7.6282 3.8910
angles: 90.00 90.00 90.00
With the nearest neighbours (Å) after each atom.
Space group P4/mbm (No. 127)
Unique sites:
Zr  0.1721  0.3279  0.0000 x4  6 Tl 2.85-3.06
Nb  0.0000  0.0000  0.5000 x2  4 Tl 2.97
Tl  0.1345  0.6345  0.5000 x4  6 Zr 2.85-3.06, 1 Tl 2.90, 2 Nb 2.97

## Properties
E_form = 0.174 eV per atom
density = 10.0 g/cm3
raw total energy = -6.21 eV per atom

Entry 5:
Crystalline Li2Al2Au3 at its relaxed geometry. Source: Alexandria via LeMat-Bulk, functional GGA-PBE.

abc: 5.7509 8.7985 5.1246
angles: 90.00 111.30 90.00
With the nearest neighbours (Å) after each atom.
Space group P2_1/c (No. 14)
Unique sites:
Li  0.1090  0.2294  0.3480 x4  2 Li 2.59, 4 Au 2.61-2.86
Al  0.4053  0.6534  0.6360 x4  5 Au 2.56-2.83
Au  0.0000  0.0000  0.0000 x2  2 Al 2.56, 4 Li 2.61-2.65
Au  0.2820  0.5600  0.0984 x4  4 Al 2.61-2.83, 2 Li 2.79-2.86

## Properties
relative energy among the computed polymorphs = 154.0 meV/atom
E_form = -0.345 eV per atom
density = 9.1 g/cm3
raw total energy = -3.37 eV per atom

Entry 6:
Crystalline SrMgSe2 at its relaxed geometry. Source: Alexandria via LeMat-Bulk, functional GGA-PBE.

abc: 7.3891 7.3891 7.3891
angles: 90.00 90.00 90.00
With the nearest neighbours (Å) after each atom.
Space group F-43m (No. 216)
Unique sites:
Sr  0.0000  0.0000  0.0000 x4  4 Mg 3.20, 4 Se 3.20
Mg  0.2500  0.2500  0.7500 x4  4 Se 3.20, 4 Sr 3.20
Se  0.0000  0.0000  0.5000 x4  4 Se 3.20, 4 Mg 3.20
Se  0.2500  0.2500  0.2500 x4  4 Se 3.20, 4 Sr 3.20

## Properties
raw formation energy = -529 meV per atom
density = 4.4 g/cm3
raw total energy = -3.09 eV per atom

Entry 7:
Crystalline Sb2Pd7Pb2 at its relaxed geometry. Source: Alexandria via LeMat-Bulk, functional GGA-PBE.

abc: 8.9495 10.5510 4.9353
angles: 90.00 114.03 90.00
With the nearest neighbours (Å) after each atom.
Space group C2/m (No. 12)
Unique sites:
Sb  0.0000  0.2122  0.0000 x4  6 Pd 2.65-2.76
Pd  0.0000  0.5000  0.5000 x2  2 Pb 2.76, 4 Pd 2.86
Pd  0.1123  0.0000  0.3144 x4  2 Sb 2.68, 1 Pb 2.71, 1 Pd 2.93
Pd  0.1671  0.2626  0.6757 x8  2 Sb 2.65-2.76, 4 Pd 2.72-2.94
Pb  0.2110  0.5000  0.0914 x4  5 Pd 2.71-3.03

## Properties
raw formation energy = -278 meV per atom
density = 10.9 g/cm3
raw total energy = -5.01 eV per atom

Entry 8:
Crystalline BeCo2BSe at its relaxed geometry. Source: Alexandria via LeMat-Bulk, functional GGA-PBE.

abc: 3.9000 3.9000 3.6563
angles: 90.00 90.00 90.00
With the nearest neighbours (Å) after each atom.
Space group P4/mmm (No. 123)
Unique sites:
Be  0.0000  0.0000  0.0000 x1  2 B 1.83
Co  0.0000  0.5000  0.5000 x2  2 B 1.95
B  0.0000  0.0000  0.5000 x1  2 Be 1.83, 4 Co 1.95
Se  0.5000  0.5000  0.0000 x1  8 Co 2.67, 4 Be 2.76

## Properties
raw formation energy = 189 meV per atom
density = 6.5 g/cm3
raw total energy = -5.43 eV per atom

Entry 9:
Crystalline ZrBeHg at its relaxed geometry. Source: Alexandria via LeMat-Bulk, functional GGA-PBE.

abc: 3.7562 15.5007 3.6286
angles: 90.00 90.00 90.00
With the nearest neighbours (Å) after each atom.
Space group Cmcm (No. 63)
Unique sites:
Zr  0.0000  0.0851  0.2500 x4  6 Be 2.65-2.72
Be  0.0000  0.4647  0.2500 x4  2 Be 2.12
Hg  0.0000  0.3021  0.2500 x4  1 Be 2.52

## Properties
relative energy among the computed polymorphs = 0.0 meV/atom
E_form = -0.201 eV per atom
density = 9.5 g/cm3
raw total energy = -4.39 eV per atom

Entry 10:
Crystalline NbRu4Rh at its relaxed geometry. Source: Alexandria via LeMat-Bulk, functional GGA-PBE.

abc: 5.2157 5.5165 7.0627
angles: 67.29 71.45 74.77
With the nearest neighbours (Å) after each atom.
Space group P-1 (No. 2)
Unique sites:
Nb  0.0677  0.3779  0.2054 x2  9 Ru 2.66-2.86, 2 Rh 2.67-2.73, 1 Nb 2.92
Ru  0.0580  0.8890  0.1885 x2  8 Ru 2.66-2.81, 2 Nb 2.76, 2 Rh 2.76-2.79
Ru  0.2850  0.9421  0.4730 x2  2 Nb 2.66-2.76, 7 Ru 2.66-2.81, 3 Rh 2.68-2.78
Ru  0.3875  0.7241  0.8628 x2  3 Nb 2.67-2.80, 8 Ru 2.69-2.81, 1 Rh 2.80
Ru  0.3940  0.2123  0.8657 x2  8 Ru 2.62-2.81, 2 Rh 2.73-2.80, 2 Nb 2.79-2.86
Rh  0.2806  0.4450  0.4764 x2  2 Rh 2.66-2.77, 2 Nb 2.67-2.73, 8 Ru 2.68-2.80

## Properties
E_form = -0.119 eV per atom
density = 11.4 g/cm3
raw total energy = -9.21 eV per atom

Entry 11:
Crystalline Dy2PuMg at its relaxed geometry. Source: Alexandria via LeMat-Bulk, functional GGA-PBE.

abc: 3.4564 3.4564 9.4559
angles: 90.00 90.00 90.00
With the nearest neighbours (Å) after each atom.
Space group P4/mmm (No. 123)
Unique sites:
Dy  0.0000  0.0000  0.2441 x2  4 Mg 3.36, 4 Pu 3.44, 4 Dy 3.46
Pu  0.5000  0.5000  0.5000 x1  8 Dy 3.44, 4 Pu 3.46
Mg  0.5000  0.5000  0.0000 x1  8 Dy 3.36, 4 Mg 3.46

## Properties
relative energy among the computed polymorphs = 0.0 meV/atom
E_form = 0.052 eV per atom
density = 8.7 g/cm3
raw total energy = -6.23 eV per atom

Entry 12:
Crystalline In2CuF at its relaxed geometry. Source: Alexandria via LeMat-Bulk, functional GGA-PBE.

abc: 6.8621 6.8621 6.9187
angles: 90.00 90.00 90.00
With the nearest neighbours (Å) after each atom.
Space group I-42d (No. 122)
Unique sites:
In  0.2307  0.2500  0.1250 x8  2 F 2.49, 2 Cu 2.67
Cu  0.0000  0.0000  0.5000 x4  4 In 2.67
F  0.0000  0.0000  0.0000 x4  4 In 2.49

## Properties
raw formation energy = -534 meV per atom
relative energy among the computed polymorphs = 13.1 meV/atom
density = 6.4 g/cm3
raw total energy = -3.40 eV per atom

Entry 13:
Crystalline Ti3Pd5 at its relaxed geometry. Source: Alexandria via LeMat-Bulk, functional GGA-PBE.

abc: 3.3065 3.3065 11.6964
angles: 90.00 90.00 90.00
With the nearest neighbours (Å) after each atom.
Space group P4/mmm (No. 123)
Unique sites:
Ti  0.0000  0.0000  0.0000 x1  2 Pd 2.86, 8 Ti 2.87
Ti  0.5000  0.5000  0.1423 x2  5 Pd 2.63-2.72, 4 Ti 2.87
Pd  0.0000  0.0000  0.2447 x2  5 Ti 2.63-2.86, 4 Pd 2.79
Pd  0.0000  0.0000  0.5000 x1  10 Pd 2.76-2.99
Pd  0.5000  0.5000  0.3746 x2  1 Ti 2.72, 9 Pd 2.76-2.93

## Properties
relative energy among the computed polymorphs = 319.5 meV/atom
E_form = -0.291 eV per atom
density = 8.8 g/cm3
raw total energy = -6.50 eV per atom

Entry 14:
Crystalline Dy3PaSb4 at its relaxed geometry. Source: Alexandria via LeMat-Bulk, functional GGA-PBE.

abc: 6.1895 6.1895 12.3662
angles: 90.00 90.00 90.00
With the nearest neighbours (Å) after each atom.
Space group I4/mmm (No. 139)
Unique sites:
Dy  0.0000  0.0000  0.0000 x2  6 Sb 3.09-3.12
Dy  0.0000  0.5000  0.2500 x4  6 Sb 3.09
Pa  0.0000  0.0000  0.5000 x2  6 Sb 3.07-3.09
Sb  0.0000  0.0000  0.2521 x4  1 Pa 3.07, 5 Dy 3.09-3.12
Sb  0.0000  0.5000  0.0000 x4  4 Dy 3.09, 2 Pa 3.09

## Properties
raw formation energy = -959 meV per atom
density = 8.5 g/cm3
raw total energy = -5.93 eV per atom

Entry 15:
Crystalline Nd2NpPaP4 at its relaxed geometry. Source: Alexandria via LeMat-Bulk, functional GGA-PBE.

abc: 7.0092 4.0556 7.0760
angles: 90.00 109.41 90.00
With the nearest neighbours (Å) after each atom.
Space group P2/m (No. 10)
Unique sites:
Nd  0.0000  0.0000  0.0000 x1  6 P 2.94-2.95
Nd  0.5000  0.5000  0.0000 x1  6 P 2.93-2.94
Np  0.0000  0.5000  0.5000 x1  6 P 2.81-2.82
Pa  0.5000  0.0000  0.5000 x1  6 P 2.80-2.81
P  0.2452  0.0000  0.7330 x2  1 Pa 2.80, 2 Np 2.81, 3 Nd 2.94-2.95
P  0.2570  0.5000  0.2659 x2  2 Pa 2.81, 1 Np 2.82, 3 Nd 2.93-2.94

## Properties
E_form = -1.317 eV per atom
density = 7.7 g/cm3
raw total energy = -8.02 eV per atom

Entry 16:
Crystalline LiCuI2 at its relaxed geometry. Source: Alexandria via LeMat-Bulk, functional GGA-PBE.

abc: 4.4911 4.4911 23.8090
angles: 90.00 90.00 120.00
With the nearest neighbours (Å) after each atom.
Space group P3_221 (No. 154)
Unique sites:
Li  0.0000  0.6716  0.3333 x3  6 I 3.02
Cu  0.0000  0.6660  0.8333 x3  2 I 2.42
I  0.0043  0.6667  0.7317 x6  1 Cu 2.42

## Properties
raw formation energy = -569 meV per atom
relative energy among the computed polymorphs = 97.9 meV/atom
density = 3.9 g/cm3
raw total energy = -2.85 eV per atom

Entry 17:
Crystalline CsSrBeS2 at its relaxed geometry. Source: Alexandria via LeMat-Bulk, functional GGA-PBE.

abc: 7.8956 4.9252 8.7730
angles: 90.00 102.32 90.00
With the nearest neighbours (Å) after each atom.
Space group P2/c (No. 13)
Unique sites:
Cs  0.0000  0.2224  0.2500 x2  6 S 3.53-3.79
Sr  0.5000  0.4870  0.7500 x2  4 S 2.97-2.98, 2 Be 3.25
Be  0.5000  0.0000  0.0000 x2  2 S 1.95
S  0.2993  0.2416  0.9650 x4  1 Be 1.95

## Properties
raw formation energy = -999 meV per atom
density = 2.9 g/cm3
raw total energy = -3.90 eV per atom

Entry 18:
Crystalline LaTa2AuS at its relaxed geometry. Source: Alexandria via LeMat-Bulk, functional GGA-PBE.

abc: 4.6816 4.6816 5.0225
angles: 90.00 90.00 90.00
With the nearest neighbours (Å) after each atom.
Space group P4/mmm (No. 123)
Unique sites:
La  0.0000  0.0000  0.0000 x1  4 Au 3.31, 8 Ta 3.43
Ta  0.0000  0.5000  0.5000 x2  2 S 2.34
Au  0.5000  0.5000  0.0000 x1  2 S 2.51
S  0.5000  0.5000  0.5000 x1  4 Ta 2.34, 2 Au 2.51

## Properties
raw formation energy = 167 meV per atom
relative energy among the computed polymorphs = 104.1 meV/atom
density = 11.0 g/cm3
raw total energy = -7.04 eV per atom

Entry 19:
Crystalline CaMgSb2 at its relaxed geometry. Source: Alexandria via LeMat-Bulk, functional GGA-PBE.

abc: 8.7692 4.2289 6.3827
angles: 90.00 107.29 90.00
With the nearest neighbours (Å) after each atom.
Space group C2/m (No. 12)
Unique sites:
Ca  0.0000  0.0000  0.0000 x2  6 Sb 3.18-3.22
Mg  0.0000  0.5000  0.5000 x2  6 Sb 2.97-3.03
Sb  0.2434  0.0000  0.7169 x4  3 Mg 2.97-3.03, 3 Ca 3.18-3.22

## Properties
raw formation energy = -482 meV per atom
density = 4.5 g/cm3
raw total energy = -3.44 eV per atom

Entry 20:
Crystalline Cs4Np3VS8 at its relaxed geometry. Source: Alexandria via LeMat-Bulk, functional GGA-PBE.

abc: 8.0631 8.0631 24.1466
angles: 90.00 90.00 120.00
With the nearest neighbours (Å) after each atom.
Space group R-3m (No. 166, hexagonal axes)
Unique sites:
Cs  0.0000  0.0000  0.0000 x3  6 S 3.56
Cs  0.0000  0.5000  0.0000 x9  6 S 3.45-3.47
Np  0.0000  0.5000  0.5000 x9  6 S 2.76-2.77
V  0.0000  0.0000  0.5000 x3  6 S 2.64
S  0.0000  0.0000  0.2278 x6  3 Np 2.76
S  0.0137  0.5068  0.2253 x18  1 V 2.64, 2 Np 2.77

## Properties
raw formation energy = -1236 meV per atom
density = 5.7 g/cm3
raw total energy = -6.51 eV per atom

Entry 21:
Crystalline Er4CdCuAu2 at its relaxed geometry. Source: Alexandria via LeMat-Bulk, functional GGA-PBE.

abc: 5.0580 5.0580 24.7185
angles: 90.00 90.00 120.00
With the nearest neighbours (Å) after each atom.
Space group R-3m (No. 166, hexagonal axes)
Unique sites:
Er  0.0000  0.0000  0.1189 x6  1 Cu 2.94, 4 Au 3.02-3.11, 3 Cd 3.15
Er  0.0000  0.0000  0.3698 x6  3 Cu 3.06, 4 Au 3.09-3.19, 1 Cd 3.22
Cd  0.0000  0.0000  0.5000 x3  8 Er 3.15-3.22, 6 Au 3.50
Cu  0.0000  0.0000  0.0000 x3  8 Er 2.94-3.06
Au  0.0000  0.0000  0.2449 x6  8 Er 3.02-3.19

## Properties
E_form = -0.575 eV per atom
density = 11.3 g/cm3
raw total energy = -4.30 eV per atom

Entry 22:
Crystalline Ba3Sn3Hg8 at its relaxed geometry. Source: Alexandria via LeMat-Bulk, functional GGA-PBE.

abc: 5.0889 11.0035 14.9913
angles: 90.00 90.00 90.00
With the nearest neighbours (Å) after each atom.
Space group Immm (No. 71)
Unique sites:
Ba  0.0000  0.0000  0.0000 x2  12 Hg 3.76-3.79, 4 Sn 4.13
Ba  0.0000  0.0000  0.3041 x4  10 Hg 3.60-3.92, 4 Sn 3.69-3.89
Sn  0.0000  0.2038  0.5000 x4  6 Hg 3.00-3.33
Sn  0.0000  0.5000  0.0000 x2  4 Hg 3.23, 4 Sn 3.39
Hg  0.0000  0.2807  0.1429 x8  3 Hg 3.03-3.10, 3 Sn 3.23-3.33
Hg  0.0000  0.3669  0.3400 x8  4 Hg 2.93-3.10, 1 Sn 3.00

## Properties
relative energy among the computed polymorphs = 17.5 meV/atom
E_form = -0.382 eV per atom
density = 9.4 g/cm3
raw total energy = -1.82 eV per atom

Entry 23:
Crystalline La3Al4Sn2 at its relaxed geometry. Source: Alexandria via LeMat-Bulk, functional GGA-PBE.

abc: 11.8687 4.5287 9.0145
angles: 90.00 102.38 90.00
With the nearest neighbours (Å) after each atom.
Space group C2/m (No. 12)
Unique sites:
La  0.0000  0.0000  0.0000 x2  8 Al 3.32-3.51, 4 Sn 3.45
La  0.1649  0.5000  0.6697 x4  8 Al 3.31-3.60, 4 Sn 3.40-3.47
Al  0.0433  0.0000  0.3845 x4  1 Al 2.51, 2 Sn 2.67
Al  0.2316  0.5000  0.0538 x4  2 Al 2.54, 1 Sn 2.68
Sn  0.1169  0.5000  0.2801 x4  3 Al 2.67-2.68

## Properties
E_form = -0.576 eV per atom
density = 5.3 g/cm3
raw total energy = -4.77 eV per atom

Entry 24:
Crystalline YZr2Mo at its relaxed geometry. Source: Alexandria via LeMat-Bulk, functional GGA-PBE.

abc: 6.1518 9.9169 3.0551
angles: 90.00 110.33 90.00
With the nearest neighbours (Å) after each atom.
Space group C2/m (No. 12)
Unique sites:
Y  0.0000  0.0000  0.0000 x2  4 Zr 3.04, 2 Y 3.06, 2 Mo 3.08
Zr  0.2500  0.2500  0.5000 x4  2 Y 3.04, 2 Mo 3.04, 4 Zr 3.06-3.08
Mo  0.0000  0.5000  0.0000 x2  4 Zr 3.04, 2 Mo 3.06, 2 Y 3.08

## Properties
relative energy among the computed polymorphs = 253.8 meV/atom
E_form = 0.323 eV per atom
density = 7.0 g/cm3
raw total energy = -8.27 eV per atom